(i)
Computed, not measured: an optimized crystal structure of Li3CBr at the GGA-PBE level of DFT.

Unit cell a=4.6663 b=4.6663 c=4.6663 alpha=90.00 beta=90.00 gamma=90.00
With the nearest neighbours (Å) after each atom.
Positions (direct):
Li1 0.0000 0.0000 0.5000  2 Br 2.33
Li2 0.0000 0.5000 0.0000  2 Br 2.33
Li3 0.5000 0.0000 0.0000  2 Br 2.33
C1 0.5000 0.5000 0.5000  12 Li 3.30
Br1 0.0000 0.0000 0.0000  6 Li 2.33

**Fermi-level density of states**: 2.69 states/eV per cell
**Magnetization**: 2.00 μB per formula unit
**Space group**: Pm-3m (221)



(ii)
Computed, not measured: an optimized crystal structure of Li3CBr at the GGA-PBE level of DFT.

Unit cell a=4.2796 b=4.2796 c=4.2796 alpha=90.00 beta=90.00 gamma=90.00
With the nearest neighbours (Å) after each atom.
Positions (direct):
Li1 0.0000 0.0000 0.5000  2 C 2.14
Li2 0.0000 0.5000 0.0000  2 C 2.14
Li3 0.5000 0.0000 0.0000  2 C 2.14
C1 0.0000 0.0000 0.0000  6 Li 2.14
Br1 0.5000 0.5000 0.5000  12 Li 3.03

**Fermi-level density of states**: 4.11 states/eV per cell
**Magnetization**: 2.00 μB per formula unit
**Space group**: Pm-3m (221)



Ordering by calculated energy gives the sequence (ii), (i), with the first entry being the most stable.



(i)
Computed, not measured: an optimized crystal structure of LiCSe2Br at the GGA-PBE level of DFT.

Unit cell a=4.1480 b=4.1480 c=8.6215 alpha=90.00 beta=90.00 gamma=90.00
With the nearest neighbours (Å) after each atom.
Positions (direct):
Li1 0.0000 0.0000 0.0000  4 Br 2.93
C1 0.5000 0.5000 0.5000  4 Se 2.07
Se1 0.0000 0.5000 0.5000  2 C 2.07
Se2 0.5000 0.0000 0.5000  2 C 2.07
Br1 0.5000 0.5000 0.0000  4 Li 2.93

**Fermi-level density of states**: 1.63 states/eV per cell
**Magnetization**: 0.00 μB per formula unit
**Space group**: P4/mmm (123)



(ii)
Computed, not measured: an optimized crystal structure of LiCSe2Br at the GGA-PBE level of DFT.

Unit cell a=4.6881 b=4.6881 c=4.6700 alpha=90.00 beta=90.00 gamma=90.00
With the nearest neighbours (Å) after each atom.
Positions (direct):
Li1 0.0000 0.0000 0.0000  2 Br 2.34, 4 Se 2.34
C1 0.5000 0.5000 0.5000  8 Se 3.31, 4 Br 3.32
Se1 0.0000 0.5000 0.0000  2 Li 2.34
Se2 0.5000 0.0000 0.0000  2 Li 2.34
Br1 0.0000 0.0000 0.5000  2 Li 2.34

**Fermi-level density of states**: 4.14 states/eV per cell
**Magnetization**: 0.00 μB per formula unit
**Space group**: P4/mmm (123)



Ordering by calculated energy gives the sequence (i), (ii), with the first entry being the most stable.



(i)
Computed, not measured: an optimized crystal structure of LiCSeBr2 at the GGA-PBE level of DFT.

Unit cell a=4.8085 b=4.8085 c=4.8181 alpha=90.00 beta=90.00 gamma=90.00
With the nearest neighbours (Å) after each atom.
Positions (direct):
Li1 0.0000 0.0000 0.0000  4 Br 2.40, 2 Se 2.41
C1 0.5000 0.5000 0.5000  4 Se 3.40, 8 Br 3.40
Se1 0.0000 0.0000 0.5000  2 Li 2.41
Br1 0.0000 0.5000 0.0000  2 Li 2.40
Br2 0.5000 0.0000 0.0000  2 Li 2.40

**Fermi-level density of states**: 5.27 states/eV per cell
**Magnetization**: 0.00 μB per formula unit
**Space group**: P4/mmm (123)



(ii)
Computed, not measured: an optimized crystal structure of LiCSeBr2 at the GGA-PBE level of DFT.

Unit cell a=5.4335 b=5.4335 c=3.9699 alpha=90.00 beta=90.00 gamma=90.00
With the nearest neighbours (Å) after each atom.
Positions (direct):
Li1 0.0000 0.0000 0.0000  8 Br 3.36
C1 0.5000 0.5000 0.5000  2 Se 1.98
Se1 0.5000 0.5000 0.0000  2 C 1.98
Br1 0.0000 0.5000 0.5000  2 C 2.72
Br2 0.5000 0.0000 0.5000  2 C 2.72

**Fermi-level density of states**: 2.51 states/eV per cell
**Magnetization**: 0.00 μB per formula unit
**Space group**: P4/mmm (123)



Ordering by calculated energy gives the sequence (ii), (i), with the first entry being the most stable.